Record 1
## SrYGePd (PBE)

Data for SrYGePd after structural relaxation.

abc: 5.1644 5.1644 5.1644
angles: 60.00 60.00 60.00
Positions (direct):
Y 0.0000 0.0000 0.0000
Pd 0.7500 0.7500 0.7500
Sr 0.5000 0.5000 0.5000
Ge 0.2500 0.2500 0.2500

DOS(E_F) ... 0.707 states/eV per atom
Crystal system ... cubic
Electronic total energy ... -5.0944 eV/atom
Total moment ... 0.00 Bohr magnetons per cell
DFT formation energy ... -234 kJ/mol of formula units



Record 2
## Sr2YGePd (PBE)

Data for Sr2YGePd after structural relaxation.

abc: 6.3940 4.8922 6.3940
angles: 90.00 90.00 90.00
Positions (direct):
Pd 0.0000 0.5000 0.0000
Ge 0.5000 0.5000 0.5000
Sr 0.5000 0.0000 0.0000
Sr 0.0000 0.0000 0.5000
Y 0.0000 0.0000 0.0000

DOS(E_F) ... 0.894 states/eV per atom
Crystal system ... tetragonal
Electronic total energy ... -3.2713 eV/atom
Total moment ... 0.76 Bohr magnetons per cell
DFT formation energy ... 317 kJ/mol of formula units



Record 3
## Sr2Zn3GePd4 (PBE)

Data for Sr2Zn3GePd4 after structural relaxation.

abc: 4.5167 4.5167 9.9900
angles: 90.00 90.00 90.00
Positions (direct):
Zn 0.0000 0.5000 0.1259
Zn 0.0000 0.0000 0.5000
Zn 0.5000 0.0000 0.8741
Pd 0.0000 0.5000 0.3832
Pd 0.5000 0.0000 0.6168
Pd 0.5000 0.5000 0.0000
Pd 0.0000 0.0000 0.0000
Sr 0.5000 0.0000 0.2438
Sr 0.0000 0.5000 0.7562
Ge 0.5000 0.5000 0.5000

DOS(E_F) ... 0.569 states/eV per atom
Crystal system ... tetragonal
Electronic total energy ... -3.8376 eV/atom
Total moment ... 0.00 Bohr magnetons per cell
DFT formation energy ... -560 kJ/mol of formula units



Record 4
## SrZnGePd3 (PBE)

Data for SrZnGePd3 after structural relaxation.

abc: 5.8604 5.8259 8.3752
angles: 110.35 90.00 90.00
Positions (direct):
Pd 0.5000 0.2566 0.0000
Pd 0.2500 0.2394 0.4789
Pd 0.5000 0.7434 0.0000
Pd 0.0000 0.7434 0.0000
Pd 0.7500 0.7606 0.5211
Pd 0.0000 0.2566 0.0000
Sr 0.7500 0.2956 0.5912
Sr 0.2500 0.7044 0.4088
Zn 0.2500 0.3981 0.7963
Zn 0.7500 0.6019 0.2037
Ge 0.7500 0.9154 0.8308
Ge 0.2500 0.0846 0.1692

DOS(E_F) ... 0.278 states/eV per atom
Crystal system ... orthorhombic
Electronic total energy ... -4.3123 eV/atom
Total moment ... 0.00 Bohr magnetons per cell
DFT formation energy ... -263 kJ/mol of formula units



Record 5
## Sr2ZnGe3Pd4 (PBE)

Data for Sr2ZnGe3Pd4 after structural relaxation.

abc: 4.4906 4.4906 10.0178
angles: 90.00 90.00 90.00
Positions (direct):
Ge 0.0000 0.0000 0.5000
Ge 0.5000 0.0000 0.8784
Ge 0.0000 0.5000 0.1216
Pd 0.0000 0.0000 0.0000
Pd 0.5000 0.0000 0.6266
Pd 0.5000 0.5000 0.0000
Pd 0.0000 0.5000 0.3734
Sr 0.0000 0.5000 0.7492
Sr 0.5000 0.0000 0.2508
Zn 0.5000 0.5000 0.5000

DOS(E_F) ... 0.462 states/eV per atom
Crystal system ... tetragonal
Electronic total energy ... -4.6119 eV/atom
Total moment ... 0.00 Bohr magnetons per cell
DFT formation energy ... -662 kJ/mol of formula units



Record 6
## Sr2ZnGe4Pd3 (PBE)

Data for Sr2ZnGe4Pd3 after structural relaxation.

abc: 4.3952 4.3952 10.5247
angles: 90.00 90.00 90.00
Positions (direct):
Ge 0.0000 0.0000 0.0000
Ge 0.0000 0.5000 0.3672
Ge 0.5000 0.0000 0.6328
Ge 0.5000 0.5000 0.0000
Pd 0.5000 0.0000 0.8739
Pd 0.0000 0.5000 0.1261
Pd 0.0000 0.0000 0.5000
Zn 0.5000 0.5000 0.5000
Sr 0.0000 0.5000 0.7502
Sr 0.5000 0.0000 0.2498

DOS(E_F) ... 0.448 states/eV per atom
Crystal system ... tetragonal
Electronic total energy ... -4.4854 eV/atom
Total moment ... 0.00 Bohr magnetons per cell
DFT formation energy ... -595 kJ/mol of formula units



Record 7
## TaGePd2 (PBE)

Data for TaGePd2 after structural relaxation.

abc: 3.8571 3.8571 9.5779
angles: 78.38 78.38 90.00
Positions (direct):
Pd 0.8750 0.8689 0.7500
Pd 0.1311 0.6250 0.2500
Pd 0.6189 0.1250 0.2500
Pd 0.3750 0.3811 0.7500
Ta 0.7500 0.2500 0.5000
Ta 0.0000 0.0000 0.0000
Ge 0.5000 0.5000 0.0000
Ge 0.2500 0.7500 0.5000

DOS(E_F) ... 0.207 states/eV per atom
Crystal system ... tetragonal
Electronic total energy ... -6.8073 eV/atom
Total moment ... 0.00 Bohr magnetons per cell
DFT formation energy ... -36 kJ/mol of formula units



Record 8
## Ta2GePd (PBE)

Data for Ta2GePd after structural relaxation.

abc: 7.1807 7.1807 5.7903
angles: 51.68 51.68 90.00
Positions (direct):
Pd 0.0000 0.0000 0.0000
Pd 0.7500 0.2500 0.5000
Ta 0.6226 0.1250 0.2500
Ta 0.3750 0.3774 0.7500
Ta 0.1274 0.6250 0.2500
Ta 0.8750 0.8726 0.7500
Ge 0.2500 0.7500 0.5000
Ge 0.5000 0.5000 0.0000

DOS(E_F) ... 0.681 states/eV per atom
Crystal system ... tetragonal
Electronic total energy ... -8.2239 eV/atom
Total moment ... 0.00 Bohr magnetons per cell
DFT formation energy ... 60 kJ/mol of formula units



Record 9
## Ta2GePd2 (PBE)

Data for Ta2GePd2 after structural relaxation.

abc: 7.7894 7.7894 2.8952
angles: 90.00 90.00 90.00
Positions (direct):
Pd 0.8740 0.6260 0.0000
Pd 0.6260 0.1260 0.0000
Pd 0.3740 0.8740 0.0000
Pd 0.1260 0.3740 0.0000
Ge 0.0000 0.0000 0.0000
Ge 0.5000 0.5000 0.0000
Ta 0.8310 0.3310 0.5000
Ta 0.1690 0.6690 0.5000
Ta 0.3310 0.1690 0.5000
Ta 0.6690 0.8310 0.5000

DOS(E_F) ... 0.874 states/eV per atom
Crystal system ... tetragonal
Electronic total energy ... -7.7134 eV/atom
Total moment ... 0.00 Bohr magnetons per cell
DFT formation energy ... 14 kJ/mol of formula units



Record 10
## TaGePd5 (PBE)

Data for TaGePd5 after structural relaxation.

abc: 7.7736 7.7736 6.9456
angles: 50.31 50.31 78.14
Positions (direct):
Pd 0.7942 0.4584 0.3927
Pd 0.8160 0.1840 0.2500
Pd 0.3326 0.1323 0.9266
Pd 0.8677 0.6674 0.5734
Pd 0.1323 0.3326 0.4266
Pd 0.1840 0.8160 0.7500
Pd 0.4584 0.7942 0.8927
Pd 0.6674 0.8677 0.0734
Pd 0.2058 0.5416 0.6073
Pd 0.5416 0.2058 0.1073
Ta 0.5480 0.4520 0.2500
Ta 0.4520 0.5480 0.7500
Ge 0.0000 0.0000 0.5000
Ge 0.0000 0.0000 0.0000

DOS(E_F) ... 0.514 states/eV per atom
Crystal system ... monoclinic
Electronic total energy ... -6.2753 eV/atom
Total moment ... 0.00 Bohr magnetons per cell
DFT formation energy ... -144 kJ/mol of formula units



Record 11
## TaGe3Pd (PBE)

Data for TaGe3Pd after structural relaxation.

abc: 4.9727 4.9727 4.9727
angles: 90.00 90.00 90.00
Positions (direct):
Ge 0.0000 0.0000 0.5000
Ge 0.5000 0.0000 0.0000
Ge 0.0000 0.5000 0.0000
Ta 0.0000 0.0000 0.0000
Pd 0.5000 0.5000 0.5000

DOS(E_F) ... 1.196 states/eV per atom
Crystal system ... cubic
Electronic total energy ... -5.5094 eV/atom
Total moment ... 0.00 Bohr magnetons per cell
DFT formation energy ... 323 kJ/mol of formula units



Record 12
## Ta3GePd (PBE)

Data for Ta3GePd after structural relaxation.

abc: 4.6954 4.6954 4.6954
angles: 90.00 90.00 90.00
Positions (direct):
Ta 0.5000 0.0000 0.0000
Ta 0.0000 0.5000 0.0000
Ta 0.0000 0.0000 0.5000
Ge 0.0000 0.0000 0.0000
Pd 0.5000 0.5000 0.5000

DOS(E_F) ... 1.259 states/eV per atom
Crystal system ... cubic
Electronic total energy ... -8.0182 eV/atom
Total moment ... 0.00 Bohr magnetons per cell
DFT formation energy ... 509 kJ/mol of formula units
E above lowest polymorph ... 0 meV per atom



> electronic total energy of number 9 (Ta2GePd2)?

-7.7134 eV/atom



> Which formula does entry 4 have?

SrZnGePd3